# Ce2HfH8

Ce2HfH8 after structural relaxation (GGA-PBE, Alexandria).

Lattice parameters (Å, degrees): 6.7147 6.7147 6.7147 147.78 138.41 53.56
Atoms (fractional coordinates):
1 Ce 0.1673 0.1673 0.0000
2 Ce 0.8327 0.8327 0.0000
3 Hf 0.5000 0.5000 0.0000
4 H 0.1292 0.3614 0.7678
5 H 0.2752 0.0000 0.2752
6 H 0.2849 0.7849 0.5000
7 H 0.4063 0.6386 0.7678
8 H 0.5937 0.3614 0.2322
9 H 0.7151 0.2151 0.5000
10 H 0.7248 0.0000 0.7248
11 H 0.8708 0.6386 0.2322

Results
**E_tot**: -53.7 eV for the cell shown
**DOS at the Fermi energy**: 12.05 states/eV/cell
**Symmetry**: No. 71
**Crystal system**: orthorhombic

***

# CsPu2CdTe4

CsPu2CdTe4 after structural relaxation (GGA-PBE, Alexandria).

Lattice parameters (Å, degrees): 8.3492 8.3492 16.1113 90.00 90.00 147.93
Atoms (fractional coordinates):
1 Cs 0.1201 0.8799 0.7500
2 Cs 0.8799 0.1201 0.2500
3 Pu 0.3731 0.6269 0.5574
4 Pu 0.3731 0.6269 0.9426
5 Pu 0.6269 0.3731 0.0574
6 Pu 0.6269 0.3731 0.4426
7 Cd 0.1625 0.8375 0.2500
8 Cd 0.8375 0.1625 0.7500
9 Te 0.0000 0.0000 0.0000
10 Te 0.0000 0.0000 0.5000
11 Te 0.2567 0.7433 0.1023
12 Te 0.2567 0.7433 0.3977
13 Te 0.4401 0.5599 0.7500
14 Te 0.5599 0.4401 0.2500
15 Te 0.7433 0.2567 0.6023
16 Te 0.7433 0.2567 0.8977

Results
**DOS at the Fermi energy**: 61.98 states/eV/cell
**Formation energy (no corrections)**: -7.247 eV/f.u.
**Symmetry**: No. 63
**Crystal system**: orthorhombic

***

# CeNdTl

CeNdTl after structural relaxation (GGA-PBE, Alexandria).

Lattice parameters (Å, degrees): 11.6734 11.6693 5.9554 75.26 75.18 29.56
Atoms (fractional coordinates):
1 Ce 0.0000 0.0000 0.0000
2 Ce 0.0000 0.0000 0.5000
3 Ce 0.0000 0.5000 0.0000
4 Ce 0.5000 0.0000 0.0000
5 Nd 0.1389 0.6111 0.6111
6 Nd 0.3889 0.8611 0.8611
7 Nd 0.6111 0.1389 0.1389
8 Nd 0.8611 0.3889 0.3889
9 Tl 0.2465 0.2465 0.5035
10 Tl 0.4965 0.4965 0.7535
11 Tl 0.5035 0.5035 0.2465
12 Tl 0.7535 0.7535 0.4965

Results
**E above lowest polymorph**: 230 meV per atom
**DFT formation energy**: 0.10 eV/atom
**DOS at the Fermi energy**: 23.31 states/eV/cell
**Symmetry**: No. 70
**Crystal system**: orthorhombic

***

# Pr4Te2PI

Pr4Te2PI after structural relaxation (GGA-PBE, Alexandria).

Lattice parameters (Å, degrees): 7.7104 4.3603 7.9236 90.00 108.41 90.00
Atoms (fractional coordinates):
1 Pr 0.2187 0.0000 0.2108
2 Pr 0.2352 0.5000 0.7850
3 Pr 0.7648 0.5000 0.2150
4 Pr 0.7813 0.0000 0.7892
5 Te 0.5000 0.0000 0.0000
6 Te 0.5000 0.5000 0.5000
7 P 0.0000 0.5000 0.0000
8 I 0.0000 0.0000 0.5000

Results
**DOS at the Fermi energy**: 3.63 states/eV/cell
**Formation energy (no corrections)**: -10.823 eV/f.u.
**Symmetry**: No. 10
**Crystal system**: monoclinic